Entry 1:
Density functional theory data (PBE) for a geometry-optimized HfCuI2 structure.

a b c (Å): 6.6261 6.6261 10.9081
angles (deg): 90.00 90.00 90.00
Closest atoms and distances in Å follow each position.
Sites, in units of the cell vectors:
Hf1 0.0000 0.0000 0.0000  4 I 2.83
Hf2 0.0000 0.5000 0.2500  4 I 2.83
Hf3 0.5000 0.0000 0.7500  4 I 2.83
Hf4 0.5000 0.5000 0.5000  4 I 2.83
Cu1 0.0000 0.0000 0.5000  4 I 2.60
Cu2 0.0000 0.5000 0.7500  4 I 2.60
Cu3 0.5000 0.0000 0.2500  4 I 2.60
Cu4 0.5000 0.5000 0.0000  4 I 2.60
I1 0.2210 0.2500 0.6250  2 Cu 2.60, 2 Hf 2.83
I2 0.2500 0.7210 0.8750  2 Cu 2.60, 2 Hf 2.83
I3 0.2500 0.7790 0.3750  2 Cu 2.60, 2 Hf 2.83
I4 0.2790 0.2500 0.1250  2 Cu 2.60, 2 Hf 2.83
I5 0.7210 0.7500 0.1250  2 Cu 2.60, 2 Hf 2.83
I6 0.7500 0.2210 0.3750  2 Cu 2.60, 2 Hf 2.83
I7 0.7500 0.2790 0.8750  2 Cu 2.60, 2 Hf 2.83
I8 0.7790 0.7500 0.6250  2 Cu 2.60, 2 Hf 2.83

The uncorrected formation energy comes out at 0.509 eV per atom. The value obtained for the offset from the most stable computed form is 167 meV/atom.

=====

Entry 2:
Density functional theory data (PBE) for a geometry-optimized HfCu2I6 structure.

a b c (Å): 9.9213 9.9213 7.2446
angles (deg): 95.84 95.84 78.93
Closest atoms and distances in Å follow each position.
Sites, in units of the cell vectors:
Hf1 0.1031 0.8969 0.7500  6 I 2.73-3.03
Hf2 0.8969 0.1031 0.2500  6 I 2.73-3.03
Cu1 0.3901 0.5180 0.0808  2 Cu 2.53-2.66, 3 I 2.59-2.64
Cu2 0.4820 0.6099 0.4192  2 Cu 2.53-2.66, 3 I 2.59-2.64
Cu3 0.5180 0.3901 0.5808  2 Cu 2.53-2.66, 3 I 2.59-2.64
Cu4 0.6099 0.4820 0.9192  2 Cu 2.53-2.66, 3 I 2.59-2.64
I1 0.0346 0.1790 0.6027  2 Hf 2.87-3.03
I2 0.1360 0.6401 0.8725  1 Hf 2.73, 1 Cu 2.92
I3 0.1790 0.0346 0.1027  2 Hf 2.87-3.03
I4 0.2871 0.4592 0.3714  3 Cu 2.59-2.64
I5 0.3599 0.8640 0.6275  1 Hf 2.73, 1 Cu 2.92
I6 0.4592 0.2871 0.8714  3 Cu 2.59-2.64
I7 0.5408 0.7129 0.1286  3 Cu 2.59-2.64
I8 0.6401 0.1360 0.3725  1 Hf 2.73, 1 Cu 2.92
I9 0.7129 0.5408 0.6286  3 Cu 2.59-2.64
I10 0.8210 0.9654 0.8973  2 Hf 2.87-3.03
I11 0.8640 0.3599 0.1275  1 Hf 2.73, 1 Cu 2.92
I12 0.9654 0.8210 0.3973  2 Hf 2.87-3.03

The uncorrected formation energy comes out at -0.537 eV per atom. The value obtained for the offset from the most stable computed form is 0 meV/atom.

=====

Entry 3:
Density functional theory data (PBE) for a geometry-optimized HfCu4I2 structure.

a b c (Å): 5.1062 5.1062 14.1666
angles (deg): 90.00 90.00 90.00
Closest atoms and distances in Å follow each position.
Sites, in units of the cell vectors:
Hf1 0.0000 0.0000 0.0000  6 Cu 2.55-2.57
Hf2 0.5000 0.5000 0.5000  6 Cu 2.55-2.57
Cu1 0.0000 0.0000 0.1817  1 I 2.54, 1 Hf 2.57
Cu2 0.0000 0.0000 0.8183  1 I 2.54, 1 Hf 2.57
Cu3 0.0000 0.5000 0.0000  2 Hf 2.55
Cu4 0.0000 0.5000 0.5000  2 Hf 2.55
Cu5 0.5000 0.0000 0.0000  2 Hf 2.55
Cu6 0.5000 0.0000 0.5000  2 Hf 2.55
Cu7 0.5000 0.5000 0.3183  1 I 2.54, 1 Hf 2.57
Cu8 0.5000 0.5000 0.6817  1 I 2.54, 1 Hf 2.57
I1 0.0000 0.0000 0.3611  1 Cu 2.54
I2 0.0000 0.0000 0.6389  1 Cu 2.54
I3 0.5000 0.5000 0.1389  1 Cu 2.54
I4 0.5000 0.5000 0.8611  1 Cu 2.54

The uncorrected formation energy comes out at 0.853 eV per atom.

=====

Entry 4:
Density functional theory data (PBE) for a geometry-optimized HfCuI3 structure.

a b c (Å): 5.2643 5.2643 5.2643
angles (deg): 90.00 90.00 90.00
Closest atoms and distances in Å follow each position.
Sites, in units of the cell vectors:
Hf1 0.0000 0.0000 0.0000  12 I 3.72
Cu1 0.5000 0.5000 0.5000  6 I 2.63
I1 0.0000 0.5000 0.5000  2 Cu 2.63
I2 0.5000 0.0000 0.5000  2 Cu 2.63
I3 0.5000 0.5000 0.0000  2 Cu 2.63

The uncorrected formation energy comes out at 0.562 eV per atom. The value obtained for the offset from the most stable computed form is 376 meV/atom.

=====

Entry 5:
Density functional theory data (PBE) for a geometry-optimized HfCuI3 structure.

a b c (Å): 5.6648 5.6648 5.6648
angles (deg): 90.00 90.00 90.00
Closest atoms and distances in Å follow each position.
Sites, in units of the cell vectors:
Hf1 0.0000 0.0000 0.0000  6 I 2.83
Cu1 0.5000 0.5000 0.5000  12 I 4.01
I1 0.0000 0.0000 0.5000  2 Hf 2.83
I2 0.0000 0.5000 0.0000  2 Hf 2.83
I3 0.5000 0.0000 0.0000  2 Hf 2.83

The uncorrected formation energy comes out at 0.186 eV per atom. The value obtained for the offset from the most stable computed form is 0 meV/atom.

=====

Entry 6:
Density functional theory data (PBE) for a geometry-optimized HfCuI2 structure.

a b c (Å): 7.1646 7.1646 7.1646
angles (deg): 90.00 90.00 90.00
Closest atoms and distances in Å follow each position.
Sites, in units of the cell vectors:
Hf1 0.0000 0.0000 0.0000  8 I 3.10
Hf2 0.0000 0.5000 0.5000  8 I 3.10
Hf3 0.5000 0.0000 0.5000  8 I 3.10
Hf4 0.5000 0.5000 0.0000  8 I 3.10
Cu1 0.0000 0.0000 0.5000  8 I 3.10
Cu2 0.0000 0.5000 0.0000  8 I 3.10
Cu3 0.5000 0.0000 0.0000  8 I 3.10
Cu4 0.5000 0.5000 0.5000  8 I 3.10
I1 0.2500 0.2500 0.2500  4 Hf 3.10, 4 Cu 3.10
I2 0.2500 0.2500 0.7500  4 Hf 3.10, 4 Cu 3.10
I3 0.2500 0.7500 0.2500  4 Hf 3.10, 4 Cu 3.10
I4 0.2500 0.7500 0.7500  4 Hf 3.10, 4 Cu 3.10
I5 0.7500 0.2500 0.2500  4 Hf 3.10, 4 Cu 3.10
I6 0.7500 0.2500 0.7500  4 Hf 3.10, 4 Cu 3.10
I7 0.7500 0.7500 0.2500  4 Hf 3.10, 4 Cu 3.10
I8 0.7500 0.7500 0.7500  4 Hf 3.10, 4 Cu 3.10

The uncorrected formation energy comes out at 0.342 eV per atom. The value obtained for the offset from the most stable computed form is 0 meV/atom.

=====

Entry 7:
Density functional theory data (PBE) for a geometry-optimized HfCu2I6 structure.

a b c (Å): 10.0991 10.0991 7.4091
angles (deg): 94.87 94.87 76.69
Closest atoms and distances in Å follow each position.
Sites, in units of the cell vectors:
Hf1 0.1009 0.8991 0.7500  6 I 2.75-2.99
Hf2 0.8991 0.1009 0.2500  6 I 2.75-2.99
Cu1 0.3129 0.4498 0.6835  3 I 2.48-2.63
Cu2 0.4498 0.3129 0.1835  3 I 2.48-2.63
Cu3 0.5502 0.6871 0.8165  3 I 2.48-2.63
Cu4 0.6871 0.5502 0.3165  3 I 2.48-2.63
I1 0.0313 0.1724 0.5939  2 Hf 2.89-2.99
I2 0.1366 0.6392 0.8596  1 Cu 2.63, 1 Hf 2.75
I3 0.1724 0.0313 0.0939  2 Hf 2.89-2.99
I4 0.2656 0.4680 0.3495  2 Cu 2.48-2.49
I5 0.3608 0.8634 0.6404  1 Cu 2.63, 1 Hf 2.75
I6 0.4680 0.2656 0.8495  2 Cu 2.48-2.49
I7 0.5320 0.7344 0.1505  2 Cu 2.48-2.49
I8 0.6392 0.1366 0.3596  1 Cu 2.63, 1 Hf 2.75
I9 0.7344 0.5320 0.6505  2 Cu 2.48-2.49
I10 0.8276 0.9687 0.9061  2 Hf 2.89-2.99
I11 0.8634 0.3608 0.1404  1 Cu 2.63, 1 Hf 2.75
I12 0.9687 0.8276 0.4061  2 Hf 2.89-2.99

The uncorrected formation energy comes out at -0.493 eV per atom. The value obtained for the offset from the most stable computed form is 45 meV/atom.

=====

Entry 8:
Density functional theory data (PBE) for a geometry-optimized HfCuI structure.

a b c (Å): 6.4728 3.7864 12.7432
angles (deg): 90.00 97.62 90.00
Closest atoms and distances in Å follow each position.
Sites, in units of the cell vectors:
Hf1 0.1008 0.0000 0.3305  4 Cu 2.59-2.75
Hf2 0.3992 0.5000 0.6695  4 Cu 2.59-2.75
Hf3 0.6008 0.5000 0.3305  4 Cu 2.59-2.75
Hf4 0.8992 0.0000 0.6695  4 Cu 2.59-2.75
Cu1 0.1891 0.0000 0.5478  3 Cu 2.44-2.59, 3 Hf 2.59-2.70
Cu2 0.3109 0.5000 0.4522  3 Cu 2.44-2.59, 3 Hf 2.59-2.70
Cu3 0.6891 0.5000 0.5478  3 Cu 2.44-2.59, 3 Hf 2.59-2.70
Cu4 0.8109 0.0000 0.4522  3 Cu 2.44-2.59, 3 Hf 2.59-2.70
I1 0.1061 0.5000 0.8314  3 Hf 2.98
I2 0.3939 0.0000 0.1686  3 Hf 2.98
I3 0.6061 0.0000 0.8314  3 Hf 2.98
I4 0.8939 0.5000 0.1686  3 Hf 2.98

The uncorrected formation energy comes out at -0.193 eV per atom.

=====

Entry 9:
Density functional theory data (PBE) for a geometry-optimized HfCuI2O structure.

a b c (Å): 5.5218 5.5218 3.5723
angles (deg): 90.00 90.00 90.00
Closest atoms and distances in Å follow each position.
Sites, in units of the cell vectors:
Hf1 0.0000 0.0000 0.0000  8 I 3.29, 2 Hf 3.57
Cu1 0.5000 0.5000 0.5000  2 O 1.79
I1 0.0000 0.5000 0.5000  2 Cu 2.76
I2 0.5000 0.0000 0.5000  2 Cu 2.76
O1 0.5000 0.5000 0.0000  2 Cu 1.79

The uncorrected formation energy comes out at 0.118 eV per atom. The value obtained for the offset from the most stable computed form is 854 meV/atom.

=====

Entry 10:
Density functional theory data (PBE) for a geometry-optimized HfCuI2O structure.

a b c (Å): 5.7695 5.7695 3.9511
angles (deg): 90.00 90.00 90.00
Closest atoms and distances in Å follow each position.
Sites, in units of the cell vectors:
Hf1 0.0000 0.0000 0.0000  2 O 1.98
Cu1 0.5000 0.5000 0.5000  8 I 3.50
I1 0.0000 0.5000 0.0000  2 Hf 2.88
I2 0.5000 0.0000 0.0000  2 Hf 2.88
O1 0.0000 0.0000 0.5000  2 Hf 1.98

The uncorrected formation energy comes out at -0.736 eV per atom. The value obtained for the offset from the most stable computed form is 0 meV/atom.

=====

Entry 11:
Density functional theory data (PBE) for a geometry-optimized HfCuIO2 structure.

a b c (Å): 4.0026 4.0026 6.2039
angles (deg): 90.00 90.00 90.00
Closest atoms and distances in Å follow each position.
Sites, in units of the cell vectors:
Hf1 0.0000 0.0000 0.0000  4 O 2.00
Cu1 0.5000 0.5000 0.5000  4 I 2.83
I1 0.0000 0.0000 0.5000  4 Cu 2.83, 2 Hf 3.10
O1 0.0000 0.5000 0.0000  2 Hf 2.00
O2 0.5000 0.0000 0.0000  2 Hf 2.00

The uncorrected formation energy comes out at -1.483 eV per atom. The value obtained for the offset from the most stable computed form is 0 meV/atom.

=====

Entry 12:
Density functional theory data (PBE) for a geometry-optimized HfCuIO2 structure.

a b c (Å): 4.0474 4.0474 4.8263
angles (deg): 90.00 90.00 90.00
Closest atoms and distances in Å follow each position.
Sites, in units of the cell vectors:
Hf1 0.0000 0.0000 0.0000  4 I 2.86, 8 O 3.15
Cu1 0.5000 0.5000 0.5000  4 O 2.02
I1 0.5000 0.5000 0.0000  2 Cu 2.41
O1 0.0000 0.5000 0.5000  2 Cu 2.02
O2 0.5000 0.0000 0.5000  2 Cu 2.02

The uncorrected formation energy comes out at 0.104 eV per atom. The value obtained for the offset from the most stable computed form is 1587 meV/atom.

=====

Entry 13:
Density functional theory data (PBE) for a geometry-optimized RbHfCuI6 structure.

a b c (Å): 7.4849 7.4849 16.5581
angles (deg): 90.00 90.00 120.00
Closest atoms and distances in Å follow each position.
Sites, in units of the cell vectors:
Rb1 0.0000 0.0000 0.0000  6 I 3.74
Rb2 0.0000 0.0000 0.5000  6 I 3.74
Hf1 0.3333 0.6667 0.2500  6 I 2.86
Hf2 0.6667 0.3333 0.7500  6 I 2.86
Cu1 0.3333 0.6667 0.7500  6 I 2.89
Cu2 0.6667 0.3333 0.2500  6 I 2.89
I1 0.0035 0.3716 0.1515  1 Hf 2.86, 1 Cu 2.89
I2 0.0035 0.6319 0.3485  1 Hf 2.86, 1 Cu 2.89
I3 0.3681 0.3716 0.3485  1 Hf 2.86, 1 Cu 2.89
I4 0.3681 0.9965 0.1515  1 Hf 2.86, 1 Cu 2.89
I5 0.3716 0.0035 0.6515  1 Hf 2.86, 1 Cu 2.89
I6 0.3716 0.3681 0.8485  1 Hf 2.86, 1 Cu 2.89
I7 0.6284 0.6319 0.1515  1 Hf 2.86, 1 Cu 2.89
I8 0.6284 0.9965 0.3485  1 Hf 2.86, 1 Cu 2.89
I9 0.6319 0.0035 0.8485  1 Hf 2.86, 1 Cu 2.89
I10 0.6319 0.6284 0.6515  1 Hf 2.86, 1 Cu 2.89
I11 0.9965 0.3681 0.6515  1 Hf 2.86, 1 Cu 2.89
I12 0.9965 0.6284 0.8485  1 Hf 2.86, 1 Cu 2.89

The uncorrected formation energy comes out at -0.801 eV per atom.

=====

Entry 14:
Density functional theory data (PBE) for a geometry-optimized RbHfCu2I8 structure.

a b c (Å): 7.1825 7.1825 10.5766
angles (deg): 94.35 94.35 68.22
Closest atoms and distances in Å follow each position.
Sites, in units of the cell vectors:
Rb1 0.0000 0.0000 0.0000  6 I 3.80-3.82
Hf1 0.0000 0.0000 0.5000  6 I 2.84-2.86
Cu1 0.3652 0.3652 0.7175  4 I 2.50-2.72
Cu2 0.6348 0.6348 0.2825  4 I 2.50-2.72
I1 0.2346 0.7377 0.3056  1 Cu 2.72, 1 Hf 2.86
I2 0.2392 0.2392 0.5035  1 Cu 2.60, 1 Hf 2.84
I3 0.2623 0.7654 0.6944  1 Cu 2.72, 1 Hf 2.86
I4 0.3103 0.3103 0.9398  1 Cu 2.50
I5 0.6897 0.6897 0.0602  1 Cu 2.50
I6 0.7377 0.2346 0.3056  1 Cu 2.72, 1 Hf 2.86
I7 0.7608 0.7608 0.4965  1 Cu 2.60, 1 Hf 2.84
I8 0.7654 0.2623 0.6944  1 Cu 2.72, 1 Hf 2.86

The uncorrected formation energy comes out at -0.621 eV per atom.

=====

Entry 15:
Density functional theory data (PBE) for a geometry-optimized SrHfCu2I structure.

a b c (Å): 5.2763 5.2763 5.8875
angles (deg): 90.00 90.00 90.00
Closest atoms and distances in Å follow each position.
Sites, in units of the cell vectors:
Sr1 0.0000 0.0000 0.0000  4 Cu 2.64, 2 I 2.94
Hf1 0.5000 0.5000 0.5000  4 I 3.73, 8 Cu 3.95
Cu1 0.0000 0.5000 0.0000  2 Sr 2.64
Cu2 0.5000 0.0000 0.0000  2 Sr 2.64
I1 0.0000 0.0000 0.5000  2 Sr 2.94

The uncorrected formation energy comes out at 1.252 eV per atom.

=====

Entry 16:
Density functional theory data (PBE) for a geometry-optimized HfTlCu2I8 structure.

a b c (Å): 7.2537 7.2537 9.9203
angles (deg): 90.42 90.42 67.54
Closest atoms and distances in Å follow each position.
Sites, in units of the cell vectors:
Hf1 0.0000 0.0000 0.0000  6 I 2.84-2.87
Tl1 0.0000 0.0000 0.5000  6 I 3.41-3.55
Cu1 0.3495 0.3495 0.2274  4 I 2.50-2.72
Cu2 0.6505 0.6505 0.7726  4 I 2.50-2.72
I1 0.2358 0.2358 0.0037  1 Cu 2.60, 1 Hf 2.84
I2 0.2491 0.7496 0.2055  1 Cu 2.72, 1 Hf 2.87
I3 0.2504 0.7509 0.7945  1 Cu 2.72, 1 Hf 2.87
I4 0.2812 0.2812 0.4644  1 Cu 2.50
I5 0.7188 0.7188 0.5356  1 Cu 2.50
I6 0.7496 0.2491 0.2055  1 Cu 2.72, 1 Hf 2.87
I7 0.7509 0.2504 0.7945  1 Cu 2.72, 1 Hf 2.87
I8 0.7642 0.7642 0.9963  1 Cu 2.60, 1 Hf 2.84

The uncorrected formation energy comes out at -0.480 eV per atom.

=====

Entry 17:
Density functional theory data (PBE) for a geometry-optimized HfTlCu2I structure.

a b c (Å): 5.1542 5.1542 5.6024
angles (deg): 90.00 90.00 90.00
Closest atoms and distances in Å follow each position.
Sites, in units of the cell vectors:
Hf1 0.0000 0.0000 0.0000  4 Cu 2.58, 2 I 2.80
Tl1 0.5000 0.5000 0.5000  4 I 3.64, 8 Cu 3.81
Cu1 0.0000 0.5000 0.0000  2 Hf 2.58
Cu2 0.5000 0.0000 0.0000  2 Hf 2.58
I1 0.0000 0.0000 0.5000  2 Hf 2.80

The uncorrected formation energy comes out at 0.609 eV per atom.

=====

Entry 18:
Density functional theory data (PBE) for a geometry-optimized HfV2CuI structure.

a b c (Å): 4.8043 4.8043 5.2150
angles (deg): 90.00 90.00 90.00
Closest atoms and distances in Å follow each position.
Sites, in units of the cell vectors:
Hf1 0.0000 0.0000 0.0000  2 I 2.61
V1 0.0000 0.5000 0.5000  2 I 2.40
V2 0.5000 0.0000 0.5000  2 I 2.40
Cu1 0.5000 0.5000 0.0000  4 Hf 3.40, 8 V 3.55
I1 0.0000 0.0000 0.5000  4 V 2.40, 2 Hf 2.61

The uncorrected formation energy comes out at 1.624 eV per atom.

=====

Entry 19:
Density functional theory data (PBE) for a geometry-optimized Hf4InCu2 structure.

a b c (Å): 8.8153 8.8153 8.8153
angles (deg): 29.65 29.65 29.65
Closest atoms and distances in Å follow each position.
Sites, in units of the cell vectors:
Hf1 0.1152 0.1152 0.1152  3 In 2.91, 3 Cu 2.91, 3 Hf 3.25
Hf2 0.2948 0.2948 0.2948  4 Cu 2.58-2.68
Hf3 0.7052 0.7052 0.7052  4 Cu 2.58-2.68
Hf4 0.8848 0.8848 0.8848  3 In 2.91, 3 Cu 2.91, 3 Hf 3.25
In1 0.5000 0.5000 0.5000  2 Cu 2.61, 6 Hf 2.91
Cu1 0.3968 0.3968 0.3968  4 Hf 2.58-2.68, 1 In 2.61
Cu2 0.6032 0.6032 0.6032  4 Hf 2.58-2.68, 1 In 2.61

Its formation energy is 256 meV per atom.

=====

Entry 20:
Density functional theory data (PBE) for a geometry-optimized HfInCu structure.

a b c (Å): 3.4118 4.2142 8.1932
angles (deg): 90.00 101.87 90.00
Closest atoms and distances in Å follow each position.
Sites, in units of the cell vectors:
Hf1 0.0874 0.2500 0.1767  6 Cu 2.72-2.81
Hf2 0.9126 0.7500 0.8233  6 Cu 2.72-2.81
In1 0.2924 0.2500 0.5848  1 Cu 2.63
In2 0.7076 0.7500 0.4152  1 Cu 2.63
Cu1 0.4578 0.2500 0.9130  2 Cu 2.53, 1 In 2.63, 6 Hf 2.72-2.81
Cu2 0.5422 0.7500 0.0870  2 Cu 2.53, 1 In 2.63, 6 Hf 2.72-2.81

Its formation energy is -84 meV per atom.